Entry 1:
Below is a relaxed NbVN3 crystal, with properties calculated at the GGA-PBE level.

CIF file:
```
data_NbVN3
_chemical_formula_sum 'Nb1 V1 N3'
_cell_length_a 3.744
_cell_length_b 3.744
_cell_length_c 3.744
_cell_angle_alpha 90.00
_cell_angle_beta 90.00
_cell_angle_gamma 90.00
_symmetry_space_group_name_H-M 'P m -3 m'
_symmetry_Int_Tables_number 221
_symmetry_space_group_name_Hall '-P 4 2 3'
loop_
_atom_site_label
_atom_site_type_symbol
_atom_site_fract_x
_atom_site_fract_y
_atom_site_fract_z
Nb1 Nb 0.000 0.000 0.000
V1 V 0.500 0.500 0.500
N1 N 0.000 0.500 0.500
```

Calculated values
The formation energy without anion corrections comes out at 0.1491 eV/atom. For the total DFT energy (no corrections), the calculation gives -8.684 eV/atom. As for the total magnetization: 0.6 μB/f.u.

***

Entry 2:
Below is a relaxed Nb4VN crystal, with properties calculated at the GGA-PBE level.

CIF file:
```
data_Nb4VN
_chemical_formula_sum 'Nb8 V2 N2'
_cell_length_a 5.796
_cell_length_b 5.386
_cell_length_c 6.309
_cell_angle_alpha 90.00
_cell_angle_beta 104.08
_cell_angle_gamma 90.00
_symmetry_space_group_name_H-M 'P 1 21/c 1'
_symmetry_Int_Tables_number 14
loop_
_symmetry_equiv_pos_as_xyz
'x,y,z'
'-x,-y,-z'
'-x,y+1/2,-z+1/2'
'x,-y+1/2,z+1/2'
loop_
_atom_site_label
_atom_site_type_symbol
_atom_site_fract_x
_atom_site_fract_y
_atom_site_fract_z
Nb1 Nb 0.094 0.161 0.198
Nb2 Nb 0.351 0.610 0.127
V1 V 0.500 0.000 0.000
N1 N 0.000 0.000 0.500
```

Calculated values
The formation energy without anion corrections comes out at -0.1824 eV/atom. For the total DFT energy (no corrections), the calculation gives -9.803 eV/atom. As for the total magnetization: 0.0 μB/f.u.

***

Entry 3:
Below is a relaxed Nb2V3N2 crystal, with properties calculated at the GGA-PBE level.

CIF file:
```
data_Nb2V3N2
_chemical_formula_sum 'Nb4 V6 N4'
_cell_length_a 8.664
_cell_length_b 2.951
_cell_length_c 7.211
_cell_angle_alpha 90.00
_cell_angle_beta 116.33
_cell_angle_gamma 90.00
_symmetry_space_group_name_H-M 'C 1 2/m 1'
_symmetry_Int_Tables_number 12
loop_
_symmetry_equiv_pos_as_xyz
'x,y,z'
'-x,-y,-z'
'-x,y,-z'
'x,-y,z'
'x+1/2,y+1/2,z'
'-x+1/2,-y+1/2,-z'
'-x+1/2,y+1/2,-z'
'x+1/2,-y+1/2,z'
loop_
_atom_site_label
_atom_site_type_symbol
_atom_site_fract_x
_atom_site_fract_y
_atom_site_fract_z
Nb1 Nb 0.161 0.000 0.289
V1 V 0.000 0.500 0.500
V2 V 0.126 0.500 0.935
N1 N 0.131 0.000 0.740
```

Calculated values
The formation energy without anion corrections comes out at -0.5088 eV/atom. For the total DFT energy (no corrections), the calculation gives -9.673 eV/atom. As for the total magnetization: 0.0 μB/f.u.